A relaxed structure of Y3Er3Th, computed with GGA-PBE.

abc: 6.574 6.574 10.531
angles: 90.64 90.64 95.53
Sites, in units of the cell vectors:
Er (0.191, 0.809, 0.500)
Er (0.183, 0.817, 0.000)
Er (0.817, 0.183, 0.000)
Er (0.677, 0.677, 0.562)
Er (0.809, 0.191, 0.500)
Er (0.323, 0.323, 0.438)
Y (0.872, 0.514, 0.247)
Y (0.975, 0.975, 0.747)
Y (0.128, 0.486, 0.753)
Y (0.025, 0.025, 0.253)
Y (0.514, 0.872, 0.247)
Y (0.486, 0.128, 0.753)
Th (0.666, 0.666, 0.920)
Th (0.334, 0.334, 0.080)

- ΔE_f (meV/atom) = 155.8
- calculated density (g/cm3) = 7.3
- energy (eV per atom) = -5.630
- E above lowest polymorph (meV per atom) = 0